(1)
PaTiAuO6 PBE-GGA relaxed; crystal system = trigonal; formation energy (no corrections) = -2.152 eV/atom
1.0
5.534 0.000 0.000
-2.767 4.793 0.000
0.000 0.000 8.894
O Au Ti Pa
12 2 2 2
Cartesian
-0.861 1.742 5.630
1.079 1.616 3.263
4.456 1.616 1.184
1.939 0.126 1.184
3.595 0.126 3.263
-1.688 3.176 7.710
0.828 4.667 7.710
0.861 1.742 7.710
3.628 3.050 3.263
1.688 3.176 5.630
-0.828 4.667 5.630
1.906 3.050 1.184
0.000 0.000 4.447
0.000 0.000 0.000
0.000 3.195 6.670
2.767 1.598 2.223
0.000 3.195 2.223
2.767 1.598 6.670


(2)
BeAlHg2H PBE-GGA relaxed; crystal system = tetragonal
1.0
5.275 0.000 0.000
0.000 3.286 0.000
0.000 0.000 5.275
Hg Be Al H
2 1 1 1
Cartesian
2.638 0.000 0.000
0.000 0.000 2.638
2.638 1.643 2.638
0.000 0.000 0.000
0.000 1.643 0.000


(3)
PaFe4P2 PBE-GGA relaxed; crystal system = tetragonal; distance to the lowest polymorph of the same formula = 0.0 meV per atom; E_form = -0.657 eV/atom
1.0
3.557 0.000 0.000
0.000 7.086 0.000
0.000 0.000 7.086
P Fe Pa
4 8 2
Cartesian
0.000 1.589 5.497
1.778 1.954 1.954
1.778 5.133 5.133
0.000 5.497 1.589
0.000 4.639 6.538
1.778 2.995 5.990
0.000 0.548 2.447
1.778 4.091 1.096
1.778 5.990 2.995
0.000 6.538 4.639
1.778 1.096 4.091
0.000 2.447 0.548
1.778 0.000 0.000
0.000 3.543 3.543


(4)
GaTcSn2 PBE-GGA relaxed; crystal system = orthorhombic; E_form = 0.007 eV/atom
1.0
-2.070 2.578 0.279
-3.267 -2.977 3.274
4.509 2.852 7.093
Sn Tc Ga
4 2 2
Cartesian
1.256 4.454 7.614
-0.738 1.250 2.711
-0.091 1.203 7.935
-2.084 -2.001 3.032
1.141 2.438 5.666
-1.969 0.015 4.980
2.254 1.426 3.546
0.621 -0.063 5.183


(5)
K2Rb2IrO4 PBE-GGA relaxed; crystal system = tetragonal; formation energy (no corrections) = -1.012 eV/atom
1.0
-4.708 -1.677 -3.730
4.542 -4.118 1.144
-1.121 0.795 6.083
K O Rb Ir
2 4 2 1
Cartesian
1.185 -1.152 2.505
2.235 -2.171 4.723
3.312 -3.051 2.217
0.108 -0.272 5.011
0.014 -3.551 3.548
-1.302 -1.450 -0.051
0.772 -3.728 0.514
-2.060 -1.272 2.983
0.000 0.000 0.000


(6)
Sm5Si2Pb2 PBE-GGA relaxed; crystal system = orthorhombic; formation energy (no corrections) = -0.633 eV/atom
1.0
7.537 0.000 2.736
0.000 7.994 0.000
1.084 0.000 8.764
Sm Pb Si
10 4 4
Cartesian
4.181 1.412 7.775
6.878 6.582 8.754
5.510 2.585 4.113
3.768 3.997 1.368
0.000 0.000 0.000
1.742 1.412 2.745
7.950 2.585 9.143
3.110 5.409 7.386
0.671 5.409 2.356
4.439 6.582 3.724
2.612 3.997 4.554
6.380 0.000 5.922
2.240 0.000 5.578
6.009 3.997 6.945
2.895 7.055 1.051
4.641 0.939 1.685
0.873 3.058 0.317
6.664 4.936 2.419


(7)
TaTi4In3 PBE-GGA relaxed; crystal system = tetragonal; E_form = -0.128 eV/atom
1.0
4.449 0.000 -1.201
-0.318 4.443 -1.179
-0.302 -0.361 7.721
Ti In Ta
4 3 1
Cartesian
2.485 2.664 0.365
1.343 1.418 4.976
0.420 0.443 1.555
3.408 3.639 3.786
-0.159 2.222 -0.589
0.743 3.174 2.752
3.085 0.908 2.589
2.224 0.000 -0.600


(8)
SrCuBi2 PBE-GGA relaxed; crystal system = tetragonal; E_form = -0.153 eV/atom
1.0
-2.193 3.537 3.734
-2.597 -4.265 2.514
4.744 -1.569 8.456
Bi Cu Sr
4 2 2
Cartesian
-0.312 -1.285 11.498
1.440 -1.978 8.997
-0.983 -2.178 4.615
-0.238 0.847 4.300
-0.124 -3.099 7.047
-2.395 -0.364 3.124
0.078 0.802 7.657
0.000 0.000 0.000


(9)
PrHo2IO8 PBE-GGA relaxed; crystal system = monoclinic; formation energy (no corrections) = -2.301 eV/atom
1.0
5.049 0.001 -0.003
0.041 5.048 -0.006
0.004 0.008 6.967
I Ho O Pr
1 2 8 1
Cartesian
0.000 0.000 0.000
2.548 2.530 5.215
2.546 2.527 1.744
4.135 0.940 5.567
1.629 1.610 3.481
0.959 4.117 1.391
4.133 0.936 1.393
0.962 4.121 5.565
3.731 3.711 -0.006
3.465 3.446 3.478
1.363 1.346 6.965
0.002 0.004 3.484


no.,volume (A^3/atom),VASP energy (eV per formula unit)
1,13.1,-69.78
2,18.3,-8.59
3,12.8,-58.76
4,20.2,-21.37
5,19.4,-41.93
6,28.0,-47.56
7,18.6,-52.67
8,35.1,-14.15
9,14.8,-82.77